No. 1
# CoIr3Pb

CoIr3Pb after structural relaxation (PBEsol, Alexandria via LeMat-Bulk).

It has space group Pm-3m (No. 221), with a = 4.479 Å, b = 4.479 Å, c = 4.479 Å, α = 90.00°, β = 90.00° and γ = 90.00°. The inequivalent atoms are Co at (0.000, 0.000, 0.000), Ir at (0.000, 0.000, 0.500) and Pb at (0.500, 0.500, 0.500).

For the calculated volume, the calculation gives 18.0 Å³/atom. As for the formation energy: 1.283 eV per atom. For the electronic total energy, the calculation gives -34.8 eV per cell. Its calculated density is 15.6 g cm⁻³. The energy above the most stable polymorph in this dataset is 0.00 eV/f.u. The total magnetic moment comes out at 2.8 μB/cell.

No. 2
# ZnSb2Os

ZnSb2Os after structural relaxation (PBEsol, Alexandria via LeMat-Bulk).

It has space group P4/mmm (No. 123), with a = 3.154 Å, b = 3.154 Å, c = 7.814 Å, α = 90.00°, β = 90.00° and γ = 90.00°. The inequivalent atoms are Zn at (0.000, 0.000, 0.000), Sb at (0.500, 0.500, 0.281) and Os at (0.000, 0.000, 0.500).

The value obtained for the uncorrected formation energy is 0.29 eV per atom. For the calculated volume, the calculation gives 19.4 Å³/atom. For the electronic total energy, the calculation gives -21.7 eV per cell. Its calculated density is 10.7 g cm⁻³. The total magnetic moment comes out at 0.0 μB/cell.

No. 3
# Ba2AuCl

Ba2AuCl after structural relaxation (PBEsol, Alexandria via LeMat-Bulk).

It has space group R-3m (No. 166, hexagonal axes), with a = 4.5199 Å, b = 4.5199 Å, c = 24.0258 Å, α = 90.00°, β = 90.00° and γ = 120.00°. The inequivalent atoms are Ba at (0.0000, 0.0000, 0.2443), Au at (0.0000, 0.0000, 0.5000) and Cl at (0.0000, 0.0000, 0.0000).

The value obtained for the uncorrected formation energy is -1.25 eV per atom. For the calculated volume, the calculation gives 35.4 Å³/atom. For the electronic total energy, the calculation gives -45.6 eV per cell. Its calculated density is 5.9 g cm⁻³. The energy above the most stable polymorph in this dataset is 0.00 eV/f.u. The total magnetic moment comes out at 0.0 μB/cell.

No. 4
# Ba2Al

Ba2Al after structural relaxation (PBEsol, Alexandria via LeMat-Bulk).

It has space group I4/mcm (No. 140), with a = 8.243 Å, b = 8.243 Å, c = 7.679 Å, α = 90.00°, β = 90.00° and γ = 90.00°. The inequivalent atoms are Ba at (0.195, 0.305, 0.000) and Al at (0.000, 0.000, 0.250).

For the calculated volume, the calculation gives 43.5 Å³/atom. As for the formation energy: -0.003 eV per atom. For the electronic total energy, the calculation gives -33.6 eV per cell. Its calculated density is 3.8 g cm⁻³. The total magnetic moment comes out at 0.0 μB/cell.